This record from the Alexandria database describes Sc2CdSnAu4 after structural relaxation. The functional is PBE-GGA.

It has space group R-3m (No. 166, hexagonal axes), with a = 4.8107 Å, b = 4.8107 Å, c = 23.5223 Å, α = 90.00°, β = 90.00° and γ = 120.00°. The inequivalent atoms are Sc at (0.0000, 0.0000, 0.2495), Cd at (0.0000, 0.0000, 0.0000), Sn at (0.0000, 0.0000, 0.5000), Au at (0.0000, 0.0000, 0.1226) and Au at (0.0000, 0.0000, 0.3725).

The calculation puts the energy of formation at -4.74 eV per formula unit. Its volume is 19.64 A^3/atom. As for the total energy: -0.32554 Ry per atom. The size of the total moment is 0.00 μB per cell.